Record 1
Compound: BeBr3F
Source: the Alexandria database
Functional: PBE-GGA
Structure: relaxed

Lattice parameters (Å, degrees): 4.7470 4.7470 4.7470 90.00 90.00 90.00
Site moments in Bohr magnetons follow the coordinates.
Fractional positions:
Br1 0.0000 0.0000 0.5000  0.19
F1 0.5000 0.5000 0.5000  0.45
Be1 0.0000 0.0000 0.0000  -0.01
Br2 0.0000 0.5000 0.0000  0.19
Br3 0.5000 0.0000 0.0000  0.19

- SG = Pm-3m
- E above lowest polymorph (eV/atom) = 0.000

---

Record 2
Compound: Be2HgBrF
Source: the Alexandria database
Functional: PBE-GGA
Structure: relaxed

Lattice parameters (Å, degrees): 4.5064 6.6764 4.5064 90.00 90.00 90.00
Fractional positions:
Be1 0.0000 0.0000 0.5000
Hg1 0.0000 0.5000 0.0000
F1 0.5000 0.5000 0.5000
Be2 0.5000 0.0000 0.0000
Br1 0.0000 0.0000 0.0000

- SG = P4/mmm

---

Raw formation energy: -0.114, 0.801 (eV/atom)